Record 1
Here is a geometry-optimized LiHIN2 structure from the Alexandria database. Energies are from PBE.

Cell: 3.662 3.662 4.431 Å, 90.00 90.00 90.00°
Element x y z (fractional)
I  0.000  0.000  0.500
N  0.000  0.500  0.000
N  0.500  0.000  0.000
Li  0.500  0.500  0.500
H  0.000  0.000  0.000

The value obtained for the relative energy among the computed polymorphs is 0.000 eV per atom. Its crystal system is tetragonal.

***

Record 2
Here is a geometry-optimized ReRu structure from the Alexandria database. Energies are from PBE.

Cell: 4.239 4.239 7.979 Å, 90.00 90.00 120.00°
Element x y z (fractional)
Re  0.333  0.667  0.419
Re  0.667  0.333  0.581
Re  0.667  0.333  0.919
Re  0.333  0.667  0.081
Ru  0.000  0.000  0.750
Ru  0.333  0.667  0.750
Ru  0.667  0.333  0.250
Ru  0.000  0.000  0.250

The formation energy comes out at 0.537 eV per atom. Its crystal system is hexagonal.

***

Record 3
Here is a geometry-optimized Rb2LiBiBr6 structure from the Alexandria database. Energies are from PBE.

Cell: 7.829 8.001 11.122 Å, 90.00 89.84 90.00°
Element x y z (fractional)
Li  0.000  0.500  0.500
Li  0.500  0.000  0.000
Br  0.295  0.710  0.038
Br  0.072  0.492  0.745
Br  0.792  0.794  0.965
Br  0.705  0.290  0.962
Br  0.208  0.206  0.035
Br  0.205  0.210  0.462
Br  0.572  0.008  0.245
Br  0.292  0.706  0.465
Br  0.795  0.790  0.538
Br  0.928  0.508  0.255
Br  0.708  0.294  0.535
Br  0.428  0.992  0.755
Bi  0.000  0.500  0.000
Bi  0.500  0.000  0.500
Rb  0.485  0.443  0.249
Rb  0.015  0.943  0.251
Rb  0.985  0.057  0.749
Rb  0.515  0.557  0.751

The value obtained for the relative energy among the computed polymorphs is 0.000 eV per atom. Its crystal system is monoclinic.

***

no.,N(E_F) (states/eV/atom)
1,0.582
2,1.139
3,0.000